Record 1
# GaFe2TeN | Alexandria via LeMat-Bulk | GGA-PBE | relaxed
# Size of the total moment (μB per cell): 7.32
# Energy (eV/cell): -21.6
# Raw formation energy (kcal/mol of atoms): 45.1
data_GaFe2TeN
_cell_length_a 4.703
_cell_length_b 4.703
_cell_length_c 5.395
_cell_angle_alpha 90.00
_cell_angle_beta 90.00
_cell_angle_gamma 90.00
_space_group_name_H-M_alt 'P 4/m m m'
_space_group_IT_number 123
_space_group_name_Hall '-P 4 2'
loop_
_atom_site_label
_atom_site_type_symbol
_atom_site_fract_x
_atom_site_fract_y
_atom_site_fract_z
Ga1 Ga 0.000 0.000 0.000
Fe1 Fe 0.000 0.500 0.500
Te1 Te 0.000 0.000 0.500
N1 N 0.500 0.500 0.000

Record 2
# MgPPt2 | Alexandria via LeMat-Bulk | GGA-PBE | relaxed
# Size of the total moment (μB per cell): 0.00
# Energy (eV/cell): -82.0
# Energy relative to the elements (eV per atom): -0.36
data_MgPPt2
_cell_length_a 6.260
_cell_length_b 6.260
_cell_length_c 6.260
_cell_angle_alpha 90.00
_cell_angle_beta 90.00
_cell_angle_gamma 90.00
_space_group_name_H-M_alt 'F m -3 m'
_space_group_IT_number 225
_space_group_name_Hall '-F 4 2 3'
loop_
_atom_site_label
_atom_site_type_symbol
_atom_site_fract_x
_atom_site_fract_y
_atom_site_fract_z
Mg1 Mg 0.000 0.000 0.000
P1 P 0.000 0.000 0.500
Pt1 Pt 0.250 0.250 0.250

Record 3
# Tb4NpS5 | Alexandria via LeMat-Bulk | GGA-PBE | relaxed
# Size of the total moment (μB per cell): 8.75
# Energy (eV/cell): -142.0
# Raw formation energy (kcal/mol of atoms): -43.6
data_Tb4NpS5
_cell_length_a 3.920
_cell_length_b 3.920
_cell_length_c 27.776
_cell_angle_alpha 90.00
_cell_angle_beta 90.00
_cell_angle_gamma 90.00
_space_group_name_H-M_alt 'I 4/m m m'
_space_group_IT_number 139
_space_group_name_Hall '-I 4 2'
loop_
_atom_site_label
_atom_site_type_symbol
_atom_site_fract_x
_atom_site_fract_y
_atom_site_fract_z
Tb1 Tb 0.000 0.000 0.100
Tb2 Tb 0.000 0.000 0.301
Np1 Np 0.000 0.000 0.500
S1 S 0.000 0.000 0.000
S2 S 0.000 0.000 0.200
S3 S 0.000 0.000 0.400

Record 4
# Ba2ScRh | Alexandria via LeMat-Bulk | GGA-PBE | relaxed
# Size of the total moment (μB per cell): 0.00
# Distance to the lowest polymorph of the same formula (eV/atom): 0.5294
# Energy (eV/cell): -64.9
# Energy relative to the elements (eV per atom): 0.33
data_Ba2ScRh
_cell_length_a 7.765
_cell_length_b 7.765
_cell_length_c 7.765
_cell_angle_alpha 90.00
_cell_angle_beta 90.00
_cell_angle_gamma 90.00
_space_group_name_H-M_alt 'F -4 3 m'
_space_group_IT_number 216
_space_group_name_Hall 'F -4 2 3'
loop_
_atom_site_label
_atom_site_type_symbol
_atom_site_fract_x
_atom_site_fract_y
_atom_site_fract_z
Ba1 Ba 0.000 0.000 0.000
Ba2 Ba 0.250 0.250 0.250
Sc1 Sc 0.000 0.000 0.500
Rh1 Rh 0.250 0.250 0.750

Record 5
# Mg5TlCd3 | Alexandria via LeMat-Bulk | GGA-PBE | relaxed
# Size of the total moment (μB per cell): 0.00
# Energy (eV/cell): -27.0
# Energy relative to the elements (eV per atom): -0.04
data_Mg5TlCd3
_cell_length_a 8.7343
_cell_length_b 8.7343
_cell_length_c 6.2757
_cell_angle_alpha 90.00
_cell_angle_beta 90.00
_cell_angle_gamma 120.00
_space_group_name_H-M_alt 'P 63/m c m'
_space_group_IT_number 193
_space_group_name_Hall '-P 6c 2'
loop_
_atom_site_label
_atom_site_type_symbol
_atom_site_fract_x
_atom_site_fract_y
_atom_site_fract_z
Mg1 Mg 0.0000 0.3115 0.2500
Mg2 Mg 0.3333 0.6667 0.0000
Tl1 Tl 0.0000 0.0000 0.0000
Cd1 Cd 0.0000 0.3629 0.7500

Record 6
# PmPrCoRu | Alexandria via LeMat-Bulk | GGA-PBE | relaxed
# Size of the total moment (μB per cell): 3.22
# Energy (eV/cell): -103.5
# Energy relative to the elements (eV per atom): 0.01
data_PmPrCoRu
_cell_length_a 7.002
_cell_length_b 7.002
_cell_length_c 7.002
_cell_angle_alpha 90.00
_cell_angle_beta 90.00
_cell_angle_gamma 90.00
_space_group_name_H-M_alt 'F -4 3 m'
_space_group_IT_number 216
_space_group_name_Hall 'F -4 2 3'
loop_
_atom_site_label
_atom_site_type_symbol
_atom_site_fract_x
_atom_site_fract_y
_atom_site_fract_z
Pm1 Pm 0.000 0.000 0.000
Pr1 Pr 0.000 0.000 0.500
Co1 Co 0.250 0.250 0.250
Ru1 Ru 0.250 0.250 0.750

Record 7
# CuNiSe2 | Alexandria via LeMat-Bulk | GGA-PBE | relaxed
# Size of the total moment (μB per cell): 0.00
# Energy (eV/cell): -33.3
# Raw formation energy (kcal/mol of atoms): 1.0
data_CuNiSe2
_cell_length_a 3.262
_cell_length_b 3.356
_cell_length_c 12.077
_cell_angle_alpha 90.00
_cell_angle_beta 90.00
_cell_angle_gamma 90.00
_space_group_name_H-M_alt 'I m m 2'
_space_group_IT_number 44
loop_
_space_group_symop_operation_xyz
'x,y,z'
'-x,-y,z'
'-x,y,z'
'x,-y,z'
'x+1/2,y+1/2,z+1/2'
'-x+1/2,-y+1/2,z+1/2'
'-x+1/2,y+1/2,z+1/2'
'x+1/2,-y+1/2,z+1/2'
loop_
_atom_site_label
_atom_site_type_symbol
_atom_site_fract_x
_atom_site_fract_y
_atom_site_fract_z
Cu1 Cu 0.000 0.000 0.000
Ni1 Ni 0.000 0.500 0.750
Se1 Se 0.000 0.000 0.405
Se2 Se 0.000 0.500 0.167

Record 8
# Rb2PdRuO4 | Alexandria via LeMat-Bulk | GGA-PBE | relaxed
# Size of the total moment (μB per cell): 0.00
# Energy (eV/cell): -87.1
# Raw formation energy (kcal/mol of atoms): -21.1
data_Rb2PdRuO4
_cell_length_a 6.423
_cell_length_b 6.423
_cell_length_c 7.103
_cell_angle_alpha 90.00
_cell_angle_beta 90.00
_cell_angle_gamma 90.00
_space_group_name_H-M_alt 'I -4'
_space_group_IT_number 82
loop_
_space_group_symop_operation_xyz
'x,y,z'
'y,-x,-z'
'-x,-y,z'
'-y,x,-z'
'x+1/2,y+1/2,z+1/2'
'y+1/2,-x+1/2,-z+1/2'
'-x+1/2,-y+1/2,z+1/2'
'-y+1/2,x+1/2,-z+1/2'
loop_
_atom_site_label
_atom_site_type_symbol
_atom_site_fract_x
_atom_site_fract_y
_atom_site_fract_z
Rb1 Rb 0.000 0.000 0.000
Rb2 Rb 0.000 0.500 0.250
Pd1 Pd 0.000 0.500 0.750
Ru1 Ru 0.000 0.000 0.500
O1 O 0.130 0.216 0.630

Record 9
# TbGdGa2 | Alexandria via LeMat-Bulk | GGA-PBE | relaxed
# Size of the total moment (μB per cell): 7.17
# Distance to the lowest polymorph of the same formula (eV/atom): 0.0000
# Energy (eV/cell): -27.1
# Energy relative to the elements (eV per atom): -0.59
data_TbGdGa2
_cell_length_a 3.588
_cell_length_b 3.588
_cell_length_c 7.246
_cell_angle_alpha 90.00
_cell_angle_beta 90.00
_cell_angle_gamma 90.00
_space_group_name_H-M_alt 'P 4/m m m'
_space_group_IT_number 123
_space_group_name_Hall '-P 4 2'
loop_
_atom_site_label
_atom_site_type_symbol
_atom_site_fract_x
_atom_site_fract_y
_atom_site_fract_z
Tb1 Tb 0.000 0.000 0.000
Gd1 Gd 0.000 0.000 0.500
Ga1 Ga 0.500 0.500 0.247

Record 10
# LiZrCr | Alexandria via LeMat-Bulk | GGA-PBE | relaxed
# Size of the total moment (μB per cell): 2.57
# Distance to the lowest polymorph of the same formula (eV/atom): 0.0745
# Energy (eV/cell): -18.7
# Energy relative to the elements (eV per atom): 0.46
data_LiZrCr
_cell_length_a 4.4520
_cell_length_b 4.4520
_cell_length_c 3.0433
_cell_angle_alpha 90.00
_cell_angle_beta 90.00
_cell_angle_gamma 120.00
_space_group_name_H-M_alt 'P 3 m 1'
_space_group_IT_number 156
loop_
_space_group_symop_operation_xyz
'x,y,z'
'-y,x-y,z'
'-x+y,-x,z'
'-y,-x,z'
'-x+y,y,z'
'x,x-y,z'
loop_
_atom_site_label
_atom_site_type_symbol
_atom_site_fract_x
_atom_site_fract_y
_atom_site_fract_z
Li1 Li 0.0000 0.0000 0.0000
Zr1 Zr 0.6667 0.3333 0.4371
Cr1 Cr 0.3333 0.6667 0.8959

Record 11
# TbHo3Tm2 | Alexandria via LeMat-Bulk | GGA-PBE | relaxed
# Size of the total moment (μB per cell): 0.00
# Distance to the lowest polymorph of the same formula (eV/atom): 0.0250
# Energy (eV/cell): -108.7
# Energy relative to the elements (eV per atom): 0.02
data_TbHo3Tm2
_cell_length_a 17.206
_cell_length_b 7.022
_cell_length_c 6.074
_cell_angle_alpha 90.00
_cell_angle_beta 90.06
_cell_angle_gamma 90.00
_space_group_name_H-M_alt 'C 1 2/c 1'
_space_group_IT_number 15
loop_
_space_group_symop_operation_xyz
'x,y,z'
'-x,-y,-z'
'-x,y,-z+1/2'
'x,-y,z+1/2'
'x+1/2,y+1/2,z'
'-x+1/2,-y+1/2,-z'
'-x+1/2,y+1/2,-z+1/2'
'x+1/2,-y+1/2,z+1/2'
loop_
_atom_site_label
_atom_site_type_symbol
_atom_site_fract_x
_atom_site_fract_y
_atom_site_fract_z
Tb1 Tb 0.000 0.125 0.250
Ho1 Ho 0.000 0.375 0.750
Ho2 Ho 0.167 0.125 0.917
Tm1 Tm 0.167 0.375 0.417

Record 12
# Cr2FeHg | Alexandria via LeMat-Bulk | GGA-PBE | relaxed
# Size of the total moment (μB per cell): 0.00
# Energy (eV/cell): -98.8
# Energy relative to the elements (eV per atom): 0.83
data_Cr2FeHg
_cell_length_a 6.757
_cell_length_b 6.757
_cell_length_c 5.134
_cell_angle_alpha 90.00
_cell_angle_beta 90.00
_cell_angle_gamma 90.00
_space_group_name_H-M_alt 'I -4 2 d'
_space_group_IT_number 122
_space_group_name_Hall 'I -4 2bw'
loop_
_atom_site_label
_atom_site_type_symbol
_atom_site_fract_x
_atom_site_fract_y
_atom_site_fract_z
Cr1 Cr 0.186 0.250 0.125
Fe1 Fe 0.000 0.000 0.000
Hg1 Hg 0.000 0.000 0.500

Record 13
# CePrY2P4 | Alexandria via LeMat-Bulk | GGA-PBE | relaxed
# Size of the total moment (μB per cell): 0.47
# Energy (eV/cell): -57.8
# Energy relative to the elements (eV per atom): -1.57
data_CePrY2P4
_cell_length_a 7.052
_cell_length_b 4.082
_cell_length_c 7.072
_cell_angle_alpha 90.00
_cell_angle_beta 109.43
_cell_angle_gamma 90.00
_space_group_name_H-M_alt 'P 1 2/m 1'
_space_group_IT_number 10
loop_
_space_group_symop_operation_xyz
'x,y,z'
'-x,-y,-z'
'-x,y,-z'
'x,-y,z'
loop_
_atom_site_label
_atom_site_type_symbol
_atom_site_fract_x
_atom_site_fract_y
_atom_site_fract_z
Ce1 Ce 0.000 0.000 0.000
Pr1 Pr 0.000 0.500 0.500
Y1 Y 0.500 0.000 0.500
Y2 Y 0.500 0.500 0.000
P1 P 0.255 0.500 0.247
P2 P 0.257 0.000 0.758

Record 14
# KRu3Pt | Alexandria via LeMat-Bulk | GGA-PBE | relaxed
# Size of the total moment (μB per cell): 4.82
# Distance to the lowest polymorph of the same formula (eV/atom): 1.2707
# Energy (eV/cell): -20.3
# Energy relative to the elements (eV per atom): 2.93
data_KRu3Pt
_cell_length_a 4.518
_cell_length_b 4.518
_cell_length_c 4.518
_cell_angle_alpha 90.00
_cell_angle_beta 90.00
_cell_angle_gamma 90.00
_space_group_name_H-M_alt 'P m -3 m'
_space_group_IT_number 221
_space_group_name_Hall '-P 4 2 3'
loop_
_atom_site_label
_atom_site_type_symbol
_atom_site_fract_x
_atom_site_fract_y
_atom_site_fract_z
K1 K 0.000 0.000 0.000
Ru1 Ru 0.000 0.000 0.500
Pt1 Pt 0.500 0.500 0.500

Record 15
# YOsPb2 | Alexandria via LeMat-Bulk | GGA-PBE | relaxed
# Size of the total moment (μB per cell): 0.00
# Distance to the lowest polymorph of the same formula (eV/atom): 0.1267
# Energy (eV/cell): -48.1
# Energy relative to the elements (eV per atom): 0.27
data_YOsPb2
_cell_length_a 13.005
_cell_length_b 3.419
_cell_length_c 4.794
_cell_angle_alpha 90.00
_cell_angle_beta 111.47
_cell_angle_gamma 90.00
_space_group_name_H-M_alt 'C 1 m 1'
_space_group_IT_number 8
loop_
_space_group_symop_operation_xyz
'x,y,z'
'x,-y,z'
'x+1/2,y+1/2,z'
'x+1/2,-y+1/2,z'
loop_
_atom_site_label
_atom_site_type_symbol
_atom_site_fract_x
_atom_site_fract_y
_atom_site_fract_z
Y1 Y 0.000 0.000 0.000
Os1 Os 0.192 0.500 0.189
Pb1 Pb 0.194 0.000 0.693
Pb2 Pb 0.393 0.000 0.393

Record 16
# HgOs2Se | Alexandria via LeMat-Bulk | GGA-PBE | relaxed
# Size of the total moment (μB per cell): 0.14
# Energy (eV/cell): -46.7
# Raw formation energy (kcal/mol of atoms): 16.7
data_HgOs2Se
_cell_length_a 2.819
_cell_length_b 4.939
_cell_length_c 10.755
_cell_angle_alpha 90.00
_cell_angle_beta 90.00
_cell_angle_gamma 90.00
_space_group_name_H-M_alt 'C m m 2'
_space_group_IT_number 35
loop_
_space_group_symop_operation_xyz
'x,y,z'
'-x,-y,z'
'-x,y,z'
'x,-y,z'
'x+1/2,y+1/2,z'
'-x+1/2,-y+1/2,z'
'-x+1/2,y+1/2,z'
'x+1/2,-y+1/2,z'
loop_
_atom_site_label
_atom_site_type_symbol
_atom_site_fract_x
_atom_site_fract_y
_atom_site_fract_z
Hg1 Hg 0.000 0.000 0.000
Os1 Os 0.000 0.000 0.454
Os2 Os 0.000 0.500 0.254
Se1 Se 0.000 0.500 0.661

Record 17
# Ac7RuPt4 | Alexandria via LeMat-Bulk | GGA-PBE | relaxed
# Size of the total moment (μB per cell): 0.00
# Energy (eV/cell): -144.6
# Energy relative to the elements (eV per atom): -0.84
data_Ac7RuPt4
_cell_length_a 14.387
_cell_length_b 4.305
_cell_length_c 13.100
_cell_angle_alpha 90.00
_cell_angle_beta 105.27
_cell_angle_gamma 90.00
_space_group_name_H-M_alt 'C 1 m 1'
_space_group_IT_number 8
loop_
_space_group_symop_operation_xyz
'x,y,z'
'x,-y,z'
'x+1/2,y+1/2,z'
'x+1/2,-y+1/2,z'
loop_
_atom_site_label
_atom_site_type_symbol
_atom_site_fract_x
_atom_site_fract_y
_atom_site_fract_z
Ac1 Ac 0.000 0.000 0.000
Ac2 Ac 0.024 0.500 0.274
Ac3 Ac 0.100 0.500 0.584
Ac4 Ac 0.217 0.000 0.853
Ac5 Ac 0.253 0.500 0.140
Ac6 Ac 0.292 0.000 0.414
Ac7 Ac 0.410 0.500 0.686
Ru1 Ru 0.146 0.000 0.210
Pt1 Pt 0.060 0.500 0.815
Pt2 Pt 0.255 0.000 0.635
Pt3 Pt 0.373 0.000 0.061
Pt4 Pt 0.453 0.500 0.456

Record 18
# BaGaSe2 | Alexandria via LeMat-Bulk | GGA-PBE | relaxed
# Size of the total moment (μB per cell): 0.00
# Energy (eV/cell): -61.2
# Raw formation energy (kcal/mol of atoms): -19.5
data_BaGaSe2
_cell_length_a 7.666
_cell_length_b 7.666
_cell_length_c 7.666
_cell_angle_alpha 90.00
_cell_angle_beta 90.00
_cell_angle_gamma 90.00
_space_group_name_H-M_alt 'F m -3 m'
_space_group_IT_number 225
_space_group_name_Hall '-F 4 2 3'
loop_
_atom_site_label
_atom_site_type_symbol
_atom_site_fract_x
_atom_site_fract_y
_atom_site_fract_z
Ba1 Ba 0.000 0.000 0.000
Ga1 Ga 0.000 0.000 0.500
Se1 Se 0.250 0.250 0.250

Record 19
# TbCN2 | Alexandria via LeMat-Bulk | GGA-PBE | relaxed
# Size of the total moment (μB per cell): 0.00
# Energy (eV/cell): -133.4
# Raw formation energy (kcal/mol of atoms): -16.4
data_TbCN2
_cell_length_a 11.624
_cell_length_b 3.647
_cell_length_c 5.031
_cell_angle_alpha 90.00
_cell_angle_beta 90.00
_cell_angle_gamma 90.00
_space_group_name_H-M_alt 'P n m a'
_space_group_IT_number 62
loop_
_space_group_symop_operation_xyz
'x,y,z'
'-x,-y,-z'
'-x+1/2,-y,z+1/2'
'x+1/2,y,-z+1/2'
'x+1/2,-y+1/2,-z+1/2'
'-x+1/2,y+1/2,z+1/2'
'-x,y+1/2,-z'
'x,-y+1/2,z'
loop_
_atom_site_label
_atom_site_type_symbol
_atom_site_fract_x
_atom_site_fract_y
_atom_site_fract_z
Tb1 Tb 0.114 0.250 0.202
C1 C 0.115 0.750 0.647
N1 N 0.087 0.750 0.894
N2 N 0.196 0.750 0.473

Record 20
# Cd2CuPdO | Alexandria via LeMat-Bulk | GGA-PBE | relaxed
# Size of the total moment (μB per cell): 0.00
# Energy (eV/cell): -12.4
# Raw formation energy (kcal/mol of atoms): 16.9
data_Cd2CuPdO
_cell_length_a 4.860
_cell_length_b 4.860
_cell_length_c 4.583
_cell_angle_alpha 90.00
_cell_angle_beta 90.00
_cell_angle_gamma 90.00
_space_group_name_H-M_alt 'P 4/m m m'
_space_group_IT_number 123
_space_group_name_Hall '-P 4 2'
loop_
_atom_site_label
_atom_site_type_symbol
_atom_site_fract_x
_atom_site_fract_y
_atom_site_fract_z
Cd1 Cd 0.000 0.500 0.000
Cu1 Cu 0.000 0.000 0.000
Pd1 Pd 0.000 0.000 0.500
O1 O 0.500 0.500 0.500